A relaxed K2InFeF6 crystal, computed with GGA+U.

Lattice parameters (Å, degrees): 6.1172 6.2348 8.7908 90.00 90.00 90.00
Sites, in units of the cell vectors:
In1 0.5000 0.2484 0.5000
In2 0.0000 0.7516 0.0000
F1 0.7362 0.0121 0.0000
F2 0.7638 0.9879 0.5000
F3 0.0000 0.7473 0.7412
F4 0.7645 0.5080 0.5000
F5 0.5000 0.2527 0.2412
F6 0.2645 0.4920 0.0000
F7 0.5000 0.2527 0.7588
F8 0.2638 0.0121 0.0000
F9 0.2355 0.5080 0.5000
F10 0.2362 0.9879 0.5000
F11 0.7355 0.4920 0.0000
F12 0.0000 0.7473 0.2588
K1 0.0000 0.2518 0.2484
K2 0.0000 0.2518 0.7516
K3 0.5000 0.7482 0.2516
K4 0.5000 0.7482 0.7484
Fe1 0.5000 0.2515 0.0000
Fe2 0.0000 0.7485 0.5000

DFT total energy (eV per atom): -4.66
Symmetry: Pmmn (59)
D(E_F) (states/eV per cell): 5.73